Record 1
The following is a PBE-GGA calculation of crystalline Rb2Tl2Te3 at its relaxed geometry, from Alexandria.

```
Rb2Tl2Te3
1.0
8.040 -2.391 0.000
8.040 2.391 0.000
-5.058 0.000 8.286
Rb Tl Te
2 2 3
direct
0.038 0.038 0.252
0.962 0.962 0.748
0.303 0.303 0.200
0.697 0.697 0.800
0.341 0.341 0.906
0.500 0.500 0.500
0.659 0.659 0.094
```

Summary:
Magnetization in μB per atom: 0.000
Volume in Å³ per cell: 319
Space-group type: C2/m
Energy relative to the elements, uncorrected in eV per atom: -0.59
DFT total energy in eV per formula unit: -20.24

Record 2
The following is a PBE-GGA calculation of crystalline BaAcAl3 at its relaxed geometry, from Alexandria.

```
BaAcAl3
1.0
2.370 -14.845 0.000
2.370 14.845 0.000
0.000 0.000 4.551
Ba Ac Al
2 2 6
direct
0.199 0.801 0.750
0.801 0.199 0.250
0.065 0.935 0.250
0.935 0.065 0.750
0.345 0.655 0.750
0.390 0.610 0.250
0.478 0.522 0.250
0.522 0.478 0.750
0.610 0.390 0.750
0.655 0.345 0.250
```

Summary:
Magnetization in μB per atom: 0.000
Volume in Å³ per cell: 320
Space-group type: Cmcm
Energy relative to the elements in meV/atom: -288
DFT total energy in eV per formula unit: -18.70

Record 3
The following is a PBE-GGA calculation of crystalline PmEuHo at its relaxed geometry, from Alexandria.

```
PmEuHo
1.0
-1.839 1.839 7.777
1.839 -1.839 7.777
1.839 1.839 -7.777
Pm Eu Ho
1 1 1
direct
0.000 0.000 0.000
0.677 0.677 0.000
0.349 0.349 0.000
```

Summary:
Magnetization in μB per atom: 2.403
Volume in Å³ per cell: 105
Space-group type: I4mm
Energy relative to the elements in meV/atom: 49
DFT total energy in eV per formula unit: -19.46

Record 4
The following is a PBE-GGA calculation of crystalline Cd6HgAu at its relaxed geometry, from Alexandria.

```
Cd6HgAu
1.0
2.508 -4.438 0.000
2.508 4.438 0.000
-1.403 0.000 8.801
Cd Hg Au
6 1 1
direct
0.041 0.041 0.164
0.277 0.617 0.703
0.383 0.723 0.297
0.617 0.277 0.703
0.723 0.383 0.297
0.959 0.959 0.836
0.000 0.000 0.500
0.500 0.500 0.000
```

Summary:
Magnetization in μB per atom: 0.000
Volume in Å³ per cell: 196
Offset from the most stable computed form in meV/atom: 47
Space-group type: C2/m
Energy relative to the elements in meV/atom: 29
DFT total energy in eV per formula unit: -8.84

Record 5
The following is a PBE-GGA calculation of crystalline Pm4Mg5Tl2 at its relaxed geometry, from Alexandria.

```
Pm4Mg5Tl2
1.0
8.191 0.000 0.000
0.000 3.599 0.000
-0.781 0.000 10.672
Pm Mg Tl
4 5 2
direct
0.161 0.000 0.387
0.276 0.000 0.945
0.724 0.000 0.055
0.839 0.000 0.613
0.200 0.500 0.665
0.437 0.500 0.207
0.500 0.500 0.500
0.563 0.500 0.793
0.800 0.500 0.335
0.061 0.500 0.141
0.939 0.500 0.859
```

Summary:
Magnetization in μB per atom: 0.000
Volume in Å³ per cell: 315
Space-group type: P2/m
Energy relative to the elements in meV/atom: -117
DFT total energy in eV per formula unit: -32.99

Record 6
The following is a PBE-GGA calculation of crystalline KRb4Pb3F12 at its relaxed geometry, from Alexandria.

```
KRb4Pb3F12
1.0
-4.814 4.814 4.814
4.814 -4.814 4.814
4.814 4.814 -4.814
K Rb Pb F
1 4 3 12
direct
0.000 0.000 0.000
0.000 0.000 0.500
0.000 0.500 0.000
0.500 0.000 0.000
0.500 0.500 0.500
0.000 0.500 0.500
0.500 0.000 0.500
0.500 0.500 0.000
0.000 0.261 0.261
0.000 0.739 0.739
0.250 0.500 0.750
0.250 0.750 0.500
0.261 0.000 0.261
0.261 0.261 0.000
0.500 0.250 0.750
0.500 0.750 0.250
0.739 0.000 0.739
0.739 0.739 0.000
0.750 0.250 0.500
0.750 0.500 0.250
```

Summary:
Magnetization in μB per atom: 0.000
Volume in Å³ per cell: 446
Space-group type: Im-3m
Energy relative to the elements, uncorrected in eV per atom: -2.49
DFT total energy in eV per formula unit: -88.29

DFT total energy of number 2 (BaAcAl3)?
-18.70 eV per formula unit

DFT total energy of number 5 (Pm4Mg5Tl2)?
-32.99 eV per formula unit

What is the magnetization in the second record?
0.000 μB per atom